The following is a DFT calculation (PBE) of a relaxed structure of Sc6SbSe3S2.

The space group is C2/m (No. 12) and the conventional cell measures 16.8772, 3.8557 and 7.7735 Å, with angles of 90.00, 103.58 and 90.00 degrees. The distinct sites, in fractional coordinates, are Sc at (0.0117, 0.0000, 0.2690), Sc at (0.1742, 0.5000, 0.1159), Sc at (0.1739, 0.5000, 0.5706), Sb at (0.0000, 0.5000, 0.0000), Se at (0.0000, 0.5000, 0.5000), Se at (0.1624, 0.0000, 0.8341) and S at (0.1693, 0.0000, 0.3402).

Its density is 4.68 g cm⁻³. The uncorrected formation energy is -1561 meV per atom. The calculation puts the electronic total energy at -159.1 eV for the cell shown.